# 1
{
  "formula": "AcDyGePt",
  "functional": "PBE-GGA",
  "state": "optimized geometry",
  "cell": [[4.7778, 0.0000, 0.0000], [0.0000, 4.7778, 0.0000], [0.0000, 0.0000, 10.3938]],
  "species": ["Ac", "Ac", "Dy", "Dy", "Ge", "Ge", "Pt", "Pt"],
  "frac_coords": [[0.2500, 0.2500, 0.1708], [0.7500, 0.7500, 0.8292], [0.2500, 0.7500, 0.5000], [0.7500, 0.2500, 0.5000], [0.2500, 0.2500, 0.8769], [0.7500, 0.7500, 0.1231], [0.2500, 0.2500, 0.6467], [0.7500, 0.7500, 0.3533]],
  "de_polymorph_mev_per_atom": 0,
  "n_ef_per_ev_atom": 0.65,
  "mass_density_g_cm3": 9.2,
  "magnetic_moment_mub_per_atom": 0.00
}



# 2
{
  "formula": "Y2CuSbAs",
  "functional": "PBE-GGA",
  "state": "optimized geometry",
  "cell": [[5.4597, 0.0000, 0.0000], [0.0000, 5.4597, 0.0000], [0.0000, 0.0000, 4.4285]],
  "species": ["Y", "Y", "Cu", "Sb", "As"],
  "frac_coords": [[0.0000, 0.5000, 0.0000], [0.5000, 0.0000, 0.0000], [0.0000, 0.0000, 0.5000], [0.5000, 0.5000, 0.5000], [0.0000, 0.0000, 0.0000]],
  "n_ef_per_ev_atom": 0.54,
  "mass_density_g_cm3": 5.5,
  "e_form_raw_mev_per_atom": -594,
  "magnetic_moment_mub_per_atom": 0.00
}



# 3
{
  "formula": "La2MnRh",
  "functional": "PBE-GGA",
  "state": "optimized geometry",
  "cell": [[3.4417, 0.0000, 0.0000], [0.0000, 3.4417, 0.0000], [0.0000, 0.0000, 8.5306]],
  "species": ["La", "La", "Mn", "Rh"],
  "frac_coords": [[0.0000, 0.0000, 0.0000], [0.5000, 0.5000, 0.3927], [0.0000, 0.0000, 0.6415], [0.5000, 0.5000, 0.7899]],
  "de_polymorph_mev_per_atom": 200,
  "n_ef_per_ev_atom": 1.08,
  "mass_density_g_cm3": 7.2,
  "magnetic_moment_mub_per_atom": 1.07
}



# 4
{
  "formula": "EuSc2Co",
  "functional": "PBE-GGA",
  "state": "optimized geometry",
  "cell": [[3.2196, 0.0000, 0.0000], [0.0000, 3.2196, 0.0000], [0.0000, 0.0000, 8.8000]],
  "species": ["Eu", "Sc", "Sc", "Co"],
  "frac_coords": [[0.0000, 0.0000, 0.0000], [0.5000, 0.5000, 0.3307], [0.5000, 0.5000, 0.6693], [0.0000, 0.0000, 0.5000]],
  "de_polymorph_mev_per_atom": 0,
  "n_ef_per_ev_atom": 0.89,
  "mass_density_g_cm3": 5.5,
  "magnetic_moment_mub_per_atom": 1.79
}